No. 1
A plane-wave DFT calculation with PBE was carried out for an optimized crystal structure of HgAsPd3.

a = 5.655 Å, b = 5.740 Å, c = 7.136 Å
α = 89.80°, β = 69.17°, γ = 60.83°
Fractional coordinates of all 10 atoms:
Hg (0.000, 0.000, 0.000)
Hg (0.429, 0.791, 0.416)
As (0.058, 0.480, 0.345)
As (0.494, 0.251, 0.763)
Pd (0.440, 0.037, 0.073)
Pd (0.448, 0.530, 0.062)
Pd (0.514, 0.255, 0.422)
Pd (0.920, 0.780, 0.668)
Pd (0.935, 0.292, 0.658)
Pd (0.966, 0.517, 0.017)

Values from the calculation:
The mass density is 10.7 g/cm3. The value obtained for the offset from the most stable computed form is 41.7 meV/atom. Its spin magnetization is 0.00 μB per cell.

No. 2
A plane-wave DFT calculation with PBE was carried out for an optimized crystal structure of HgAsPd3.

a = 4.668 Å, b = 4.668 Å, c = 4.668 Å
α = 90.00°, β = 90.00°, γ = 90.00°
Fractional coordinates of all 5 atoms:
Hg (0.000, 0.000, 0.000)
As (0.500, 0.500, 0.500)
Pd (0.000, 0.500, 0.500)
Pd (0.500, 0.000, 0.500)
Pd (0.500, 0.500, 0.000)

Values from the calculation:
The mass density is 9.7 g/cm3. The value obtained for the offset from the most stable computed form is 305.2 meV/atom. Its spin magnetization is 0.00 μB per cell.

No. 3
A plane-wave DFT calculation with PBE was carried out for an optimized crystal structure of HgAsPd4.

a = 5.410 Å, b = 5.503 Å, c = 7.621 Å
α = 80.80°, β = 69.29°, γ = 89.86°
Fractional coordinates of all 12 atoms:
Hg (0.110, 0.250, 0.000)
Hg (0.890, 0.750, 0.000)
As (0.000, 0.500, 0.500)
As (0.500, 0.000, 0.500)
Pd (0.045, 0.084, 0.656)
Pd (0.298, 0.585, 0.655)
Pd (0.322, 0.570, 0.173)
Pd (0.495, 0.930, 0.828)
Pd (0.505, 0.070, 0.172)
Pd (0.678, 0.430, 0.827)
Pd (0.702, 0.415, 0.345)
Pd (0.955, 0.916, 0.344)

Values from the calculation:
The mass density is 11.1 g/cm3. The value obtained for the offset from the most stable computed form is 68.6 meV/atom. Its spin magnetization is 0.00 μB per cell.

No. 4
A plane-wave DFT calculation with PBE was carried out for an optimized crystal structure of Hg3AsPd.

a = 5.257 Å, b = 5.257 Å, c = 5.257 Å
α = 90.00°, β = 90.00°, γ = 90.00°
Fractional coordinates of all 5 atoms:
Hg (0.000, 0.000, 0.500)
Hg (0.000, 0.500, 0.000)
Hg (0.500, 0.000, 0.000)
As (0.500, 0.500, 0.500)
Pd (0.000, 0.000, 0.000)

Values from the calculation:
The mass density is 9.0 g/cm3. The value obtained for the offset from the most stable computed form is 0.0 meV/atom. Its spin magnetization is 2.05 μB per cell.

No. 5
A plane-wave DFT calculation with PBE was carried out for an optimized crystal structure of HgAs2Pd4.

a = 7.470 Å, b = 7.470 Å, c = 5.620 Å
α = 112.09°, β = 112.09°, γ = 69.29°
Fractional coordinates of all 14 atoms:
Hg (0.000, 0.000, 0.000)
Hg (0.160, 0.160, 0.659)
As (0.080, 0.580, 0.149)
As (0.475, 0.475, 0.680)
As (0.580, 0.080, 0.149)
As (0.685, 0.685, 0.391)
Pd (0.258, 0.258, 0.295)
Pd (0.350, 0.758, 0.472)
Pd (0.403, 0.810, 0.025)
Pd (0.407, 0.407, 0.024)
Pd (0.753, 0.753, 0.870)
Pd (0.758, 0.350, 0.472)
Pd (0.810, 0.403, 0.025)
Pd (0.901, 0.901, 0.439)

Values from the calculation:
For the final energy, the calculation gives -4.555 eV/atom. The mass density is 9.9 g/cm3. Its spin magnetization is 0.00 μB per cell.

No. 6
A plane-wave DFT calculation with PBE was carried out for an optimized crystal structure of HgAsPd5.

a = 4.041 Å, b = 4.041 Å, c = 7.246 Å
α = 90.00°, β = 90.00°, γ = 90.00°
Fractional coordinates of all 7 atoms:
Hg (0.000, 0.000, 0.000)
As (0.000, 0.000, 0.500)
Pd (0.000, 0.500, 0.294)
Pd (0.000, 0.500, 0.706)
Pd (0.500, 0.000, 0.294)
Pd (0.500, 0.000, 0.706)
Pd (0.500, 0.500, 0.000)

Values from the calculation:
For the final energy, the calculation gives -4.662 eV/atom. The mass density is 11.3 g/cm3. Its spin magnetization is 0.00 μB per cell.

No. 7
A plane-wave DFT calculation with PBE was carried out for an optimized crystal structure of HgAsPd6.

a = 4.010 Å, b = 4.010 Å, c = 7.988 Å
α = 90.00°, β = 90.00°, γ = 90.00°
Fractional coordinates of all 8 atoms:
Hg (0.000, 0.000, 0.000)
As (0.000, 0.000, 0.500)
Pd (0.000, 0.500, 0.262)
Pd (0.000, 0.500, 0.738)
Pd (0.500, 0.000, 0.262)
Pd (0.500, 0.000, 0.738)
Pd (0.500, 0.500, 0.000)
Pd (0.500, 0.500, 0.500)

Values from the calculation:
For the final energy, the calculation gives -4.695 eV/atom. The mass density is 11.8 g/cm3. Its spin magnetization is 0.00 μB per cell.

No. 8
A plane-wave DFT calculation with PBE was carried out for an optimized crystal structure of Hg2AsPd2.

a = 6.741 Å, b = 6.741 Å, c = 4.243 Å
α = 90.00°, β = 90.00°, γ = 90.00°
Fractional coordinates of all 10 atoms:
Hg (0.154, 0.346, 0.000)
Hg (0.346, 0.846, 0.000)
Hg (0.654, 0.154, 0.000)
Hg (0.846, 0.654, 0.000)
As (0.000, 0.000, 0.500)
As (0.500, 0.500, 0.500)
Pd (0.156, 0.656, 0.500)
Pd (0.344, 0.156, 0.500)
Pd (0.656, 0.844, 0.500)
Pd (0.844, 0.344, 0.500)

Values from the calculation:
The mass density is 11.9 g/cm3. The value obtained for the offset from the most stable computed form is 0.0 meV/atom. Its spin magnetization is 0.00 μB per cell.

- What is the mass density in the sixth record?
  11.3 g/cm3